The following is a PBE calculation of a geometry-optimized SiRhSeN2 structure, from Alexandria.

```
SiRhSeN2
1.0
3.426 0.000 0.000
0.000 3.426 0.000
0.000 0.000 7.831
Si Rh Se N
1 1 1 2
Direct
0.000 0.000 0.000
0.500 0.500 0.500
0.000 0.000 0.500
0.000 0.500 0.000
0.500 0.000 0.000
```

Results
* DOS(E_F): 3.5 states/eV/f.u.
* formation energy (no corrections): 3.10 eV per formula unit
* relative energy among the computed polymorphs: 0 meV/atom